VASP calculation (GGA-PBE) on a geometry-optimized ZrRh2O structure.

Unit cell a=6.814 b=6.814 c=6.814 alpha=137.68 beta=137.68 gamma=61.40
Atoms (fractional coordinates):
1 Zr 0.000 0.000 0.000
2 Zr 0.750 0.250 0.500
3 Rh 0.240 0.625 0.115
4 Rh 0.375 0.490 0.615
5 Rh 0.510 0.125 0.885
6 Rh 0.875 0.760 0.385
7 O 0.250 0.750 0.500
8 O 0.500 0.500 0.000

## Properties
E_tot = -7.38 eV per atom
space-group type = I-42d, No. 122
energy relative to the elements, uncorrected = -31.3 kJ per mole of atoms
crystal system = tetragonal